Model 1:
CaBe2Pt, relaxed, DFT PBE; theoretical density = 6.55 g/cm3
1.0
-2.529 2.068 -1.496
-0.411 -2.193 -2.338
-4.065 -3.600 1.894
Ca Pt Be
1 1 2
Direct
0.000 0.455 0.469
0.500 0.743 0.887
0.500 0.104 0.170
0.000 0.198 0.975

Model 2:
CaBe2Pt, relaxed, DFT PBE; theoretical density = 6.22 g/cm3
1.0
3.968 0.000 0.006
1.986 3.436 0.006
1.974 1.139 4.965
Be Ca Pt
2 1 1
Direct
0.564 0.564 0.308
0.936 0.936 0.192
0.750 0.750 0.750
0.250 0.250 0.250

Model 3:
CaBe2Pt, relaxed, DFT PBE; theoretical density = 5.97 g/cm3
1.0
3.989 -0.007 0.043
1.991 3.457 0.043
1.952 1.126 5.129
Be Pt Ca
2 1 1
Direct
0.683 0.683 0.953
0.994 0.994 0.018
0.318 0.318 0.047
0.506 0.506 0.482

Model 4:
CaBe2Pt, relaxed, DFT PBE; theoretical density = 6.71 g/cm3
1.0
-0.814 -2.968 -0.315
1.990 -0.298 -2.349
4.707 -1.737 4.208
Ca Pt Be
1 1 2
Direct
0.000 0.000 0.502
0.500 0.500 0.832
0.500 0.500 0.175
0.000 0.000 0.991

Result of the stability comparison: model 2 is the most stable of them.